Arrangement 1

Mg3TcH7: relaxed, GGA-PBE.

Summary:
Spin magnetization, μB per cell: 0.000

Structure (CIF):
```
data_Mg3TcH7
_cell_length_a 4.7977
_cell_length_b 4.7977
_cell_length_c 10.5094
_cell_angle_alpha 90.00
_cell_angle_beta 90.00
_cell_angle_gamma 120.00
_space_group_name_H-M_alt 'P 63/m m c'
_space_group_IT_number 194
_space_group_name_Hall '-P 6c 2c'
loop_
_atom_site_label
_atom_site_type_symbol
_atom_site_fract_x
_atom_site_fract_y
_atom_site_fract_z
Mg1 Mg 0.0000 0.0000 0.2500
Mg2 Mg 0.3333 0.6667 0.0684
Tc1 Tc 0.0000 0.0000 0.0000
H1 H 0.1698 0.3396 0.5987
H2 H 0.3333 0.6667 0.2500
```

Arrangement 2

Mg3TcH7: relaxed, GGA-PBE.

Summary:
Spin magnetization, μB per cell: 0.000

Structure (CIF):
```
data_Mg3TcH7
_cell_length_a 9.112
_cell_length_b 6.047
_cell_length_c 6.737
_cell_angle_alpha 90.00
_cell_angle_beta 90.00
_cell_angle_gamma 90.00
_space_group_name_H-M_alt 'C m c m'
_space_group_IT_number 63
_space_group_name_Hall '-C 2c 2'
loop_
_atom_site_label
_atom_site_type_symbol
_atom_site_fract_x
_atom_site_fract_y
_atom_site_fract_z
Mg1 Mg 0.000 0.000 0.000
Mg2 Mg 0.220 0.305 0.250
Tc1 Tc 0.000 0.500 0.000
H1 H 0.000 0.388 0.250
H2 H 0.128 0.020 0.250
H3 H 0.132 0.292 0.536
```

Quick look at relative energies in eV/atom: arrangement 1 0.000; arrangement 2 0.101.

Arrangement 1

MgZr2TcH: relaxed, GGA-PBE.

Summary:
Spin magnetization, μB per cell: 0.000

Structure (CIF):
```
data_MgZr2TcH
_cell_length_a 4.594
_cell_length_b 4.594
_cell_length_c 3.744
_cell_angle_alpha 90.00
_cell_angle_beta 90.00
_cell_angle_gamma 90.00
_space_group_name_H-M_alt 'P 4/m m m'
_space_group_IT_number 123
_space_group_name_Hall '-P 4 2'
loop_
_atom_site_label
_atom_site_type_symbol
_atom_site_fract_x
_atom_site_fract_y
_atom_site_fract_z
Mg1 Mg 0.000 0.000 0.000
Zr1 Zr 0.000 0.500 0.500
Tc1 Tc 0.500 0.500 0.000
H1 H 0.000 0.000 0.500
```

Arrangement 2

MgZr2TcH: relaxed, GGA-PBE.

Summary:
Spin magnetization, μB per cell: 0.074

Structure (CIF):
```
data_MgZr2TcH
_cell_length_a 4.693
_cell_length_b 4.693
_cell_length_c 3.655
_cell_angle_alpha 90.00
_cell_angle_beta 90.00
_cell_angle_gamma 90.00
_space_group_name_H-M_alt 'P 4/m m m'
_space_group_IT_number 123
_space_group_name_Hall '-P 4 2'
loop_
_atom_site_label
_atom_site_type_symbol
_atom_site_fract_x
_atom_site_fract_y
_atom_site_fract_z
Mg1 Mg 0.000 0.000 0.000
Zr1 Zr 0.000 0.500 0.500
Tc1 Tc 0.500 0.500 0.000
H1 H 0.500 0.500 0.500
```

Quick look at relative energies in eV/atom: arrangement 1 0.062; arrangement 2 0.000.

Arrangement 1

Mg2TeH: relaxed, GGA-PBE.

Summary:
Spin magnetization, μB per cell: 0.000

Structure (CIF):
```
data_Mg2TeH
_cell_length_a 6.883
_cell_length_b 6.883
_cell_length_c 6.883
_cell_angle_alpha 90.00
_cell_angle_beta 90.00
_cell_angle_gamma 90.00
_space_group_name_H-M_alt 'F m -3 m'
_space_group_IT_number 225
_space_group_name_Hall '-F 4 2 3'
loop_
_atom_site_label
_atom_site_type_symbol
_atom_site_fract_x
_atom_site_fract_y
_atom_site_fract_z
Mg1 Mg 0.250 0.250 0.250
Te1 Te 0.000 0.000 0.000
H1 H 0.000 0.000 0.500
```

Arrangement 2

Mg2TeH: relaxed, GGA-PBE.

Summary:
Spin magnetization, μB per cell: 0.000

Structure (CIF):
```
data_Mg2TeH
_cell_length_a 5.268
_cell_length_b 5.268
_cell_length_c 13.125
_cell_angle_alpha 90.00
_cell_angle_beta 90.00
_cell_angle_gamma 90.00
_space_group_name_H-M_alt 'I -4 2 d'
_space_group_IT_number 122
_space_group_name_Hall 'I -4 2bw'
loop_
_atom_site_label
_atom_site_type_symbol
_atom_site_fract_x
_atom_site_fract_y
_atom_site_fract_z
Mg1 Mg 0.140 0.250 0.125
Te1 Te 0.000 0.000 0.500
H1 H 0.000 0.000 0.000
```

Quick look at relative energies in eV/atom: arrangement 1 0.226; arrangement 2 0.000.

Arrangement 1

MgTe3H: relaxed, GGA-PBE.

Summary:
Spin magnetization, μB per cell: 0.000

Structure (CIF):
```
data_MgTe3H
_cell_length_a 4.817
_cell_length_b 4.817
_cell_length_c 4.817
_cell_angle_alpha 90.00
_cell_angle_beta 90.00
_cell_angle_gamma 90.00
_space_group_name_H-M_alt 'P m -3 m'
_space_group_IT_number 221
_space_group_name_Hall '-P 4 2 3'
loop_
_atom_site_label
_atom_site_type_symbol
_atom_site_fract_x
_atom_site_fract_y
_atom_site_fract_z
Mg1 Mg 0.000 0.000 0.000
Te1 Te 0.000 0.500 0.500
H1 H 0.500 0.500 0.500
```

Arrangement 2

MgTe3H: relaxed, GGA-PBE.

Summary:
Spin magnetization, μB per cell: 1.056

Structure (CIF):
```
data_MgTe3H
_cell_length_a 5.488
_cell_length_b 5.488
_cell_length_c 5.488
_cell_angle_alpha 90.00
_cell_angle_beta 90.00
_cell_angle_gamma 90.00
_space_group_name_H-M_alt 'P m -3 m'
_space_group_IT_number 221
_space_group_name_Hall '-P 4 2 3'
loop_
_atom_site_label
_atom_site_type_symbol
_atom_site_fract_x
_atom_site_fract_y
_atom_site_fract_z
Mg1 Mg 0.000 0.000 0.000
Te1 Te 0.000 0.000 0.500
H1 H 0.500 0.500 0.500
```

Quick look at relative energies in eV/atom: arrangement 1 0.000; arrangement 2 0.267.

Arrangement 1

ThMgH: relaxed, GGA-PBE.

Summary:
Spin magnetization, μB per cell: 0.000

Structure (CIF):
```
data_ThMgH
_cell_length_a 3.4718
_cell_length_b 3.4718
_cell_length_c 5.7576
_cell_angle_alpha 90.00
_cell_angle_beta 90.00
_cell_angle_gamma 120.00
_space_group_name_H-M_alt 'P 3 m 1'
_space_group_IT_number 156
loop_
_space_group_symop_operation_xyz
'x,y,z'
'-y,x-y,z'
'-x+y,-x,z'
'-y,-x,z'
'-x+y,y,z'
'x,x-y,z'
loop_
_atom_site_label
_atom_site_type_symbol
_atom_site_fract_x
_atom_site_fract_y
_atom_site_fract_z
Th1 Th 0.0000 0.0000 0.0000
Mg1 Mg 0.3333 0.6667 0.4987
H1 H 0.6667 0.3333 0.2254
```

Arrangement 2

ThMgH: relaxed, GGA-PBE.

Summary:
Spin magnetization, μB per cell: 0.006

Structure (CIF):
```
data_ThMgH
_cell_length_a 3.351
_cell_length_b 11.302
_cell_length_c 6.699
_cell_angle_alpha 90.00
_cell_angle_beta 90.00
_cell_angle_gamma 90.00
_space_group_name_H-M_alt 'C m c m'
_space_group_IT_number 63
_space_group_name_Hall '-C 2c 2'
loop_
_atom_site_label
_atom_site_type_symbol
_atom_site_fract_x
_atom_site_fract_y
_atom_site_fract_z
Th1 Th 0.000 0.000 0.000
Mg1 Mg 0.000 0.269 0.250
H1 H 0.000 0.476 0.750
```

Quick look at relative energies in eV/atom: arrangement 1 0.000; arrangement 2 0.077.

Arrangement 1

MgTi3H: relaxed, GGA-PBE.

Summary:
Spin magnetization, μB per cell: 4.627

Structure (CIF):
```
data_MgTi3H
_cell_length_a 4.921
_cell_length_b 4.921
_cell_length_c 4.921
_cell_angle_alpha 90.00
_cell_angle_beta 90.00
_cell_angle_gamma 90.00
_space_group_name_H-M_alt 'P m -3 m'
_space_group_IT_number 221
_space_group_name_Hall '-P 4 2 3'
loop_
_atom_site_label
_atom_site_type_symbol
_atom_site_fract_x
_atom_site_fract_y
_atom_site_fract_z
Mg1 Mg 0.000 0.000 0.000
Ti1 Ti 0.000 0.000 0.500
H1 H 0.500 0.500 0.500
```

Arrangement 2

MgTi3H: relaxed, GGA-PBE.

Summary:
Spin magnetization, μB per cell: 0.000

Structure (CIF):
```
data_MgTi3H
_cell_length_a 4.174
_cell_length_b 4.174
_cell_length_c 4.174
_cell_angle_alpha 90.00
_cell_angle_beta 90.00
_cell_angle_gamma 90.00
_space_group_name_H-M_alt 'P m -3 m'
_space_group_IT_number 221
_space_group_name_Hall '-P 4 2 3'
loop_
_atom_site_label
_atom_site_type_symbol
_atom_site_fract_x
_atom_site_fract_y
_atom_site_fract_z
Mg1 Mg 0.000 0.000 0.000
Ti1 Ti 0.000 0.500 0.500
H1 H 0.500 0.500 0.500
```

Quick look at relative energies in eV/atom: arrangement 1 1.977; arrangement 2 0.000.

Arrangement 1

MgZr2TiH: relaxed, GGA-PBE.

Summary:
Spin magnetization, μB per cell: 0.000

Structure (CIF):
```
data_MgZr2TiH
_cell_length_a 4.407
_cell_length_b 4.407
_cell_length_c 4.367
_cell_angle_alpha 90.00
_cell_angle_beta 90.00
_cell_angle_gamma 90.00
_space_group_name_H-M_alt 'P 4/m m m'
_space_group_IT_number 123
_space_group_name_Hall '-P 4 2'
loop_
_atom_site_label
_atom_site_type_symbol
_atom_site_fract_x
_atom_site_fract_y
_atom_site_fract_z
Mg1 Mg 0.000 0.000 0.000
Zr1 Zr 0.000 0.500 0.500
Ti1 Ti 0.500 0.500 0.000
H1 H 0.000 0.000 0.500
```

Arrangement 2

MgZr2TiH: relaxed, GGA-PBE.

Summary:
Spin magnetization, μB per cell: 0.000

Structure (CIF):
```
data_MgZr2TiH
_cell_length_a 4.456
_cell_length_b 4.456
_cell_length_c 4.277
_cell_angle_alpha 90.00
_cell_angle_beta 90.00
_cell_angle_gamma 90.00
_space_group_name_H-M_alt 'P 4/m m m'
_space_group_IT_number 123
_space_group_name_Hall '-P 4 2'
loop_
_atom_site_label
_atom_site_type_symbol
_atom_site_fract_x
_atom_site_fract_y
_atom_site_fract_z
Mg1 Mg 0.000 0.000 0.000
Zr1 Zr 0.000 0.500 0.500
Ti1 Ti 0.500 0.500 0.000
H1 H 0.500 0.500 0.500
```

Quick look at relative energies in eV/atom: arrangement 1 0.055; arrangement 2 0.000.

Arrangement 1

MgZrTi2H: relaxed, GGA-PBE.

Summary:
Spin magnetization, μB per cell: 0.000

Structure (CIF):
```
data_MgZrTi2H
_cell_length_a 4.244
_cell_length_b 4.244
_cell_length_c 4.338
_cell_angle_alpha 90.00
_cell_angle_beta 90.00
_cell_angle_gamma 90.00
_space_group_name_H-M_alt 'P 4/m m m'
_space_group_IT_number 123
_space_group_name_Hall '-P 4 2'
loop_
_atom_site_label
_atom_site_type_symbol
_atom_site_fract_x
_atom_site_fract_y
_atom_site_fract_z
Mg1 Mg 0.000 0.000 0.000
Zr1 Zr 0.500 0.500 0.000
Ti1 Ti 0.000 0.500 0.500
H1 H 0.000 0.000 0.500
```

Arrangement 2

MgZrTi2H: relaxed, GGA-PBE.

Summary:
Spin magnetization, μB per cell: 0.000

Structure (CIF):
```
data_MgZrTi2H
_cell_length_a 4.252
_cell_length_b 4.252
_cell_length_c 4.351
_cell_angle_alpha 90.00
_cell_angle_beta 90.00
_cell_angle_gamma 90.00
_space_group_name_H-M_alt 'P 4/m m m'
_space_group_IT_number 123
_space_group_name_Hall '-P 4 2'
loop_
_atom_site_label
_atom_site_type_symbol
_atom_site_fract_x
_atom_site_fract_y
_atom_site_fract_z
Mg1 Mg 0.000 0.000 0.000
Zr1 Zr 0.500 0.500 0.000
Ti1 Ti 0.000 0.500 0.500
H1 H 0.500 0.500 0.500
```

Quick look at relative energies in eV/atom: arrangement 1 0.077; arrangement 2 0.000.

Arrangement 1

Mg2TlH: relaxed, GGA-PBE.

Summary:
Spin magnetization, μB per cell: 0.000

Structure (CIF):
```
data_Mg2TlH
_cell_length_a 5.706
_cell_length_b 5.706
_cell_length_c 9.894
_cell_angle_alpha 90.00
_cell_angle_beta 90.00
_cell_angle_gamma 90.00
_space_group_name_H-M_alt 'I -4 2 d'
_space_group_IT_number 122
_space_group_name_Hall 'I -4 2bw'
loop_
_atom_site_label
_atom_site_type_symbol
_atom_site_fract_x
_atom_site_fract_y
_atom_site_fract_z
Mg1 Mg 0.089 0.750 0.125
Tl1 Tl 0.000 0.000 0.500
H1 H 0.000 0.000 0.000
```

Arrangement 2

Mg2TlH: relaxed, GGA-PBE.

Summary:
Spin magnetization, μB per cell: 0.000

Structure (CIF):
```
data_Mg2TlH
_cell_length_a 3.4571
_cell_length_b 3.4571
_cell_length_c 21.3776
_cell_angle_alpha 90.00
_cell_angle_beta 90.00
_cell_angle_gamma 120.00
_space_group_name_H-M_alt 'R 3 m'
_space_group_IT_number 160
_space_group_name_Hall 'R 3 -2"'
loop_
_atom_site_label
_atom_site_type_symbol
_atom_site_fract_x
_atom_site_fract_y
_atom_site_fract_z
Mg1 Mg 0.0000 0.0000 0.0000
Mg2 Mg 0.0000 0.0000 0.2213
Tl1 Tl 0.0000 0.0000 0.7772
H1 H 0.0000 0.0000 0.6012
```

Quick look at relative energies in eV/atom: arrangement 1 0.015; arrangement 2 0.000.

Arrangement 1

Mg2TlH: relaxed, GGA-PBE.

Summary:
Spin magnetization, μB per cell: 0.000

Structure (CIF):
```
data_Mg2TlH
_cell_length_a 6.794
_cell_length_b 6.794
_cell_length_c 6.794
_cell_angle_alpha 90.00
_cell_angle_beta 90.00
_cell_angle_gamma 90.00
_space_group_name_H-M_alt 'F m -3 m'
_space_group_IT_number 225
_space_group_name_Hall '-F 4 2 3'
loop_
_atom_site_label
_atom_site_type_symbol
_atom_site_fract_x
_atom_site_fract_y
_atom_site_fract_z
Mg1 Mg 0.250 0.250 0.250
Tl1 Tl 0.000 0.000 0.000
H1 H 0.000 0.000 0.500
```

Arrangement 2

Mg2TlH: relaxed, GGA-PBE.

Summary:
Spin magnetization, μB per cell: 0.000

Structure (CIF):
```
data_Mg2TlH
_cell_length_a 3.7486
_cell_length_b 3.7486
_cell_length_c 23.1036
_cell_angle_alpha 90.00
_cell_angle_beta 90.00
_cell_angle_gamma 120.00
_space_group_name_H-M_alt 'R -3 m'
_space_group_IT_number 166
_space_group_name_Hall '-R 3 2"'
loop_
_atom_site_label
_atom_site_type_symbol
_atom_site_fract_x
_atom_site_fract_y
_atom_site_fract_z
Mg1 Mg 0.0000 0.0000 0.0799
Tl1 Tl 0.0000 0.0000 0.5000
H1 H 0.0000 0.0000 0.0000
```

Quick look at relative energies in eV/atom: arrangement 1 0.251; arrangement 2 0.000.

Arrangement 1

MgTlH3: relaxed, GGA-PBE.

Summary:
Spin magnetization, μB per cell: 0.000

Structure (CIF):
```
data_MgTlH3
_cell_length_a 4.043
_cell_length_b 4.043
_cell_length_c 4.043
_cell_angle_alpha 90.00
_cell_angle_beta 90.00
_cell_angle_gamma 90.00
_space_group_name_H-M_alt 'P m -3 m'
_space_group_IT_number 221
_space_group_name_Hall '-P 4 2 3'
loop_
_atom_site_label
_atom_site_type_symbol
_atom_site_fract_x
_atom_site_fract_y
_atom_site_fract_z
Mg1 Mg 0.000 0.000 0.000
Tl1 Tl 0.500 0.500 0.500
H1 H 0.000 0.000 0.500
```

Arrangement 2

MgTlH3: relaxed, GGA-PBE.

Summary:
Spin magnetization, μB per cell: 0.000

Structure (CIF):
```
data_MgTlH3
_cell_length_a 4.188
_cell_length_b 4.188
_cell_length_c 4.188
_cell_angle_alpha 90.00
_cell_angle_beta 90.00
_cell_angle_gamma 90.00
_space_group_name_H-M_alt 'P m -3 m'
_space_group_IT_number 221
_space_group_name_Hall '-P 4 2 3'
loop_
_atom_site_label
_atom_site_type_symbol
_atom_site_fract_x
_atom_site_fract_y
_atom_site_fract_z
Mg1 Mg 0.000 0.000 0.000
Tl1 Tl 0.500 0.500 0.500
H1 H 0.000 0.500 0.500
```

Quick look at relative energies in eV/atom: arrangement 1 0.000; arrangement 2 0.539.

Arrangement 1

MgVH: relaxed, GGA-PBE.

Summary:
Spin magnetization, μB per cell: 0.000

Structure (CIF):
```
data_MgVH
_cell_length_a 2.8684
_cell_length_b 2.8684
_cell_length_c 10.0110
_cell_angle_alpha 90.00
_cell_angle_beta 90.00
_cell_angle_gamma 120.00
_space_group_name_H-M_alt 'P -6 m 2'
_space_group_IT_number 187
_space_group_name_Hall 'P -6 2'
loop_
_atom_site_label
_atom_site_type_symbol
_atom_site_fract_x
_atom_site_fract_y
_atom_site_fract_z
Mg1 Mg 0.0000 0.0000 0.1515
V1 V 0.6667 0.3333 0.3788
H1 H 0.3333 0.6667 0.0000
H2 H 0.3333 0.6667 0.5000
```

Arrangement 2

MgVH: relaxed, GGA-PBE.

Summary:
Spin magnetization, μB per cell: 0.000

Structure (CIF):
```
data_MgVH
_cell_length_a 4.553
_cell_length_b 2.888
_cell_length_c 11.639
_cell_angle_alpha 90.00
_cell_angle_beta 90.00
_cell_angle_gamma 90.00
_space_group_name_H-M_alt 'P n m a'
_space_group_IT_number 62
loop_
_space_group_symop_operation_xyz
'x,y,z'
'-x,-y,-z'
'-x+1/2,-y,z+1/2'
'x+1/2,y,-z+1/2'
'x+1/2,-y+1/2,-z+1/2'
'-x+1/2,y+1/2,z+1/2'
'-x,y+1/2,-z'
'x,-y+1/2,z'
loop_
_atom_site_label
_atom_site_type_symbol
_atom_site_fract_x
_atom_site_fract_y
_atom_site_fract_z
Mg1 Mg 0.240 0.250 0.180
V1 V 0.221 0.250 0.468
H1 H 0.030 0.250 0.930
```

Quick look at relative energies in eV/atom: arrangement 1 0.071; arrangement 2 0.000.